The following is a DFT calculation (PBE) of an optimized crystal structure of Tc2AgSn2.

Properties
The crystal system is tetragonal. The electronic total energy comes out at -5.9733 eV/atom. The value obtained for the theoretical density is 9.65 g cm⁻³. As for the offset from the most stable computed form: 0.0994 eV per atom. For the formation enthalpy at 0 K, the calculation gives 344 meV per atom.

Cell lengths 7.7007, 7.7007, 3.1412 Å; angles 90.00, 90.00, 90.00 degrees
Last column: nearest neighbours and their distance in Å.
Atoms (fractional coordinates):
1 Sn 0.1506 0.3494 0.0000  6 Tc 2.73-2.76, 2 Ag 2.93
2 Sn 0.8494 0.6506 0.0000  6 Tc 2.73-2.76, 2 Ag 2.93
3 Sn 0.6506 0.1506 0.0000  6 Tc 2.73-2.76, 2 Ag 2.93
4 Sn 0.3494 0.8494 0.0000  6 Tc 2.73-2.76, 2 Ag 2.93
5 Tc 0.3556 0.1444 0.5000  6 Sn 2.73-2.76
6 Tc 0.8556 0.3556 0.5000  6 Sn 2.73-2.76
7 Tc 0.6444 0.8556 0.5000  6 Sn 2.73-2.76
8 Tc 0.1444 0.6444 0.5000  6 Sn 2.73-2.76
9 Ag 0.5000 0.5000 0.0000  4 Sn 2.93, 2 Ag 3.14
10 Ag 0.0000 0.0000 0.0000  4 Sn 2.93, 2 Ag 3.14